## P
A plane-wave DFT calculation with PBE was carried out for crystalline Zr3MnI at its relaxed geometry.

abc: 5.2325 5.2325 5.2325
angles: 90.00 90.00 90.00
Each line ends with the local moment (μB).
Atoms (fractional coordinates):
Zr1 0.0000 0.0000 0.5000  -0.13
Zr2 0.5000 0.0000 0.0000  -0.35
I1 0.0000 0.0000 0.0000  0.01
Zr3 0.0000 0.5000 0.0000  -0.21
Mn1 0.5000 0.5000 0.5000  4.24

theoretical density: 5.3 g/cm3
symmetry: Pm-3m
spin magnetization: 3.38 μB per cell



## Q
A plane-wave DFT calculation with PBE was carried out for crystalline Zr3MnI at its relaxed geometry.

abc: 4.9232 4.9232 4.9232
angles: 90.00 90.00 90.00
Atoms (fractional coordinates):
Zr1 0.0000 0.0000 0.5000
I1 0.5000 0.5000 0.5000
Zr2 0.5000 0.0000 0.0000
Mn1 0.0000 0.0000 0.0000
Zr3 0.0000 0.5000 0.0000

theoretical density: 6.3 g/cm3
symmetry: Pm-3m
spin magnetization: 0.00 μB per cell



Q: Which of them is the least stable? A: P.



## P
A plane-wave DFT calculation with PBE was carried out for crystalline MoI2N2 at its relaxed geometry.

abc: 5.6114 5.6114 3.8243
angles: 90.00 90.00 90.00
Each line ends with the local moment (μB).
Atoms (fractional coordinates):
I1 0.5000 0.0000 0.0000  0.04
N1 0.5000 0.5000 0.5000  1.80
Mo1 0.0000 0.0000 0.0000  -0.66
N2 0.0000 0.0000 0.5000  0.08
I2 0.0000 0.5000 0.0000  0.04

theoretical density: 5.2 g/cm3
symmetry: P4/mmm
spin magnetization: 2.17 μB per cell



## Q
A plane-wave DFT calculation with PBE was carried out for crystalline MoI2N2 at its relaxed geometry.

abc: 4.1301 4.1301 7.7039
angles: 90.00 90.00 90.00
Each line ends with the local moment (μB).
Atoms (fractional coordinates):
N1 0.0000 0.5000 0.0000  0.25
I1 0.0000 0.0000 0.5000  0.03
I2 0.0000 0.0000 0.0000  0.01
N2 0.5000 0.0000 0.0000  0.25
Mo1 0.5000 0.5000 0.5000  3.62

theoretical density: 4.8 g/cm3
symmetry: P4/mmm
spin magnetization: 5.19 μB per cell



Q: Which of them is the least stable? A: Q.